# 1
This record from the Alexandria database describes crystalline Li3MnP at its relaxed geometry. The functional is PBE-GGA.

Properties
As for the energy above the lowest structure with this stoichiometry: 691 meV/atom.

Structure (CIF):
```
data_Li3MnP
_chemical_formula_sum 'Li3 Mn1 P1'
_cell_length_a 4.661
_cell_length_b 4.661
_cell_length_c 4.661
_cell_angle_alpha 90.00
_cell_angle_beta 90.00
_cell_angle_gamma 90.00
_symmetry_space_group_name_H-M 'P m -3 m'
_symmetry_Int_Tables_number 221
_symmetry_space_group_name_Hall '-P 4 2 3'
loop_
_atom_site_label
_atom_site_fract_x
_atom_site_fract_y
_atom_site_fract_z
_atom_site_occupancy
Li1 0.000 0.000 0.500 1
Mn1 0.000 0.000 0.000 1
P1 0.500 0.500 0.500 1
```

***

# 2
This record from the Alexandria database describes crystalline LiMn5P3 at its relaxed geometry. The functional is PBE-GGA.

Structure (CIF):
```
data_LiMn5P3
_chemical_formula_sum 'Li4 Mn20 P12'
_cell_length_a 3.824
_cell_length_b 12.412
_cell_length_c 10.173
_cell_angle_alpha 90.00
_cell_angle_beta 90.00
_cell_angle_gamma 90.00
_symmetry_space_group_name_H-M 'C m c m'
_symmetry_Int_Tables_number 63
_symmetry_space_group_name_Hall '-C 2c 2'
loop_
_atom_site_label
_atom_site_fract_x
_atom_site_fract_y
_atom_site_fract_z
_atom_site_occupancy
Li1 0.000 0.140 0.250 1
Mn1 0.000 0.000 0.000 1
Mn2 0.000 0.192 0.560 1
Mn3 0.000 0.460 0.139 1
P1 0.000 0.092 0.750 1
P2 0.000 0.372 0.558 1
```

***

# 3
This record from the Alexandria database describes crystalline Li2MnP at its relaxed geometry. The functional is PBE-GGA.

Structure (CIF):
```
data_Li2MnP
_chemical_formula_sum 'Li2 Mn1 P1'
_cell_length_a 2.775
_cell_length_b 4.002
_cell_length_c 4.917
_cell_angle_alpha 90.00
_cell_angle_beta 90.00
_cell_angle_gamma 90.00
_symmetry_space_group_name_H-M 'P m m m'
_symmetry_Int_Tables_number 47
_symmetry_space_group_name_Hall '-P 2 2'
loop_
_atom_site_label
_atom_site_fract_x
_atom_site_fract_y
_atom_site_fract_z
_atom_site_occupancy
Li1 0.000 0.000 0.232 1
Mn1 0.500 0.500 0.500 1
P1 0.500 0.500 0.000 1
```

***

# 4
This record from the Alexandria database describes crystalline LiMnP2 at its relaxed geometry. The functional is PBE-GGA.

Properties
As for the energy above the lowest structure with this stoichiometry: 349 meV/atom.

Structure (CIF):
```
data_LiMnP2
_chemical_formula_sum 'Li4 Mn4 P8'
_cell_length_a 5.636
_cell_length_b 5.636
_cell_length_c 10.190
_cell_angle_alpha 90.00
_cell_angle_beta 90.00
_cell_angle_gamma 90.00
_symmetry_space_group_name_H-M 'I -4 2 d'
_symmetry_Int_Tables_number 122
_symmetry_space_group_name_Hall 'I -4 2bw'
loop_
_atom_site_label
_atom_site_fract_x
_atom_site_fract_y
_atom_site_fract_z
_atom_site_occupancy
Li1 0.000 0.000 0.000 1
Mn1 0.000 0.000 0.500 1
P1 0.183 0.250 0.625 1
```

***

# 5
This record from the Alexandria database describes crystalline Li4MnP at its relaxed geometry. The functional is PBE-GGA.

Properties
As for the energy above the lowest structure with this stoichiometry: 0 meV/atom.

Structure (CIF):
```
data_Li4MnP
_chemical_formula_sum 'Li8 Mn2 P2'
_cell_length_a 4.300
_cell_length_b 7.465
_cell_length_c 5.080
_cell_angle_alpha 90.00
_cell_angle_beta 90.00
_cell_angle_gamma 90.00
_symmetry_space_group_name_H-M 'C m m m'
_symmetry_Int_Tables_number 65
_symmetry_space_group_name_Hall '-C 2 2'
loop_
_atom_site_label
_atom_site_fract_x
_atom_site_fract_y
_atom_site_fract_z
_atom_site_occupancy
Li1 0.000 0.166 0.240 1
Mn1 0.000 0.500 0.500 1
P1 0.000 0.500 0.000 1
```

***

# 6
This record from the Alexandria database describes crystalline LiMnP2 at its relaxed geometry. The functional is PBE-GGA.

Properties
As for the energy above the lowest structure with this stoichiometry: 184 meV/atom.

Structure (CIF):
```
data_LiMnP2
_chemical_formula_sum 'Li2 Mn2 P4'
_cell_length_a 3.698
_cell_length_b 3.484
_cell_length_c 8.322
_cell_angle_alpha 90.00
_cell_angle_beta 90.00
_cell_angle_gamma 90.00
_symmetry_space_group_name_H-M 'A m m 2'
_symmetry_Int_Tables_number 38
_symmetry_space_group_name_Hall 'A 2 -2'
loop_
_atom_site_label
_atom_site_fract_x
_atom_site_fract_y
_atom_site_fract_z
_atom_site_occupancy
Li1 0.000 0.000 0.000 1
Mn1 0.500 0.000 0.751 1
P1 0.000 0.000 0.278 1
P2 0.500 0.000 0.459 1
```

***

# 7
This record from the Alexandria database describes crystalline Li4MnP at its relaxed geometry. The functional is PBE-GGA.

Properties
As for the energy above the lowest structure with this stoichiometry: 403 meV/atom.

Structure (CIF):
```
data_Li4MnP
_chemical_formula_sum 'Li16 Mn4 P4'
_cell_length_a 7.006
_cell_length_b 7.006
_cell_length_c 7.006
_cell_angle_alpha 90.00
_cell_angle_beta 90.00
_cell_angle_gamma 90.00
_symmetry_space_group_name_H-M 'F -4 3 m'
_symmetry_Int_Tables_number 216
_symmetry_space_group_name_Hall 'F -4 2 3'
loop_
_atom_site_label
_atom_site_fract_x
_atom_site_fract_y
_atom_site_fract_z
_atom_site_occupancy
Li1 0.125 0.125 0.125 1
Mn1 0.250 0.250 0.750 1
P1 0.000 0.000 0.500 1
```

***

# 8
This record from the Alexandria database describes crystalline Li3MnP at its relaxed geometry. The functional is PBE-GGA.

Properties
As for the energy above the lowest structure with this stoichiometry: 0 meV/atom.

Structure (CIF):
```
data_Li3MnP
_chemical_formula_sum 'Li3 Mn1 P1'
_cell_length_a 4.650
_cell_length_b 4.650
_cell_length_c 4.650
_cell_angle_alpha 90.00
_cell_angle_beta 90.00
_cell_angle_gamma 90.00
_symmetry_space_group_name_H-M 'P m -3 m'
_symmetry_Int_Tables_number 221
_symmetry_space_group_name_Hall '-P 4 2 3'
loop_
_atom_site_label
_atom_site_fract_x
_atom_site_fract_y
_atom_site_fract_z
_atom_site_occupancy
Li1 0.000 0.000 0.500 1
Mn1 0.500 0.500 0.500 1
P1 0.000 0.000 0.000 1
```

***

no.,total moment (μB/f.u.),formation enthalpy at 0 K (eV/atom),density (g/cm³)
1,4.93,0.82,1.75
2,5.89,-0.38,5.15
3,3.57,-0.11,3.04
4,1.44,-0.04,2.54
5,3.79,-0.21,2.32
6,2.45,-0.20,3.84
7,3.70,0.19,2.20
8,4.99,0.13,1.76